[1]
An optimized crystal structure of TcW2Br. Source: Alexandria via LeMat-Bulk, functional PBE.

Summary:
SG: Fm-3m (225)
Energy above the lowest structure with this stoichiometry in eV per atom: 0.640
Formation energy from raw total energies in eV per atom: 1.16

POSCAR file:
```
TcW2Br
1.0
0.000 3.186 3.186
3.186 0.000 3.186
3.186 3.186 0.000
Tc W Br
1 2 1
direct
0.000 0.000 0.000
0.250 0.250 0.250
0.750 0.750 0.750
0.500 0.500 0.500
```

***

[2]
An optimized crystal structure of LaHf2ScB. Source: Alexandria via LeMat-Bulk, functional PBE.

Summary:
SG: P4/mmm (123)
ΔH_f (0 K) in eV/atom: 0.039

POSCAR file:
```
LaHf2ScB
1.0
4.765 0.000 0.000
0.000 4.765 0.000
0.000 0.000 4.863
La Hf Sc B
1 2 1 1
direct
0.000 0.000 0.000
0.000 0.500 0.500
0.500 0.000 0.500
0.500 0.500 0.000
0.500 0.500 0.500
```

***

[3]
An optimized crystal structure of CaFeBiRu2. Source: Alexandria via LeMat-Bulk, functional PBE.

Summary:
SG: P4/mmm (123)
ΔH_f (0 K) in eV/atom: 1.722

POSCAR file:
```
CaFeBiRu2
1.0
4.998 0.000 0.000
0.000 4.998 0.000
0.000 0.000 5.572
Ca Fe Bi Ru
1 1 1 2
direct
0.000 0.000 0.000
0.500 0.500 0.000
0.000 0.000 0.500
0.000 0.500 0.500
0.500 0.000 0.500
```

***

[4]
An optimized crystal structure of Zr8Tc. Source: Alexandria via LeMat-Bulk, functional PBE.

Summary:
SG: I4/mmm (139)
ΔH_f (0 K) in eV/atom: 0.063

POSCAR file:
```
Zr8Tc
1.0
-4.435 4.435 2.536
4.435 -4.435 2.536
4.435 4.435 -2.536
Zr Tc
8 1
direct
0.000 0.307 0.307
0.000 0.693 0.693
0.307 0.000 0.307
0.335 0.335 0.671
0.335 0.665 0.000
0.665 0.335 0.000
0.665 0.665 0.329
0.693 0.000 0.693
0.000 0.000 0.000
```

***

[5]
An optimized crystal structure of La2Cu2AgPt5. Source: Alexandria via LeMat-Bulk, functional PBE.

Summary:
SG: P4/mbm (127)
ΔH_f (0 K) in eV/atom: -0.684

POSCAR file:
```
La2Cu2AgPt5
1.0
9.526 0.000 0.000
0.000 9.526 0.000
0.000 0.000 4.036
La Cu Ag Pt
4 4 2 10
direct
0.181 0.319 0.000
0.319 0.819 0.000
0.681 0.181 0.000
0.819 0.681 0.000
0.117 0.617 0.000
0.383 0.117 0.000
0.617 0.883 0.000
0.883 0.383 0.000
0.000 0.000 0.000
0.500 0.500 0.000
0.000 0.500 0.500
0.064 0.790 0.500
0.210 0.064 0.500
0.290 0.564 0.500
0.436 0.290 0.500
0.500 0.000 0.500
0.564 0.710 0.500
0.710 0.436 0.500
0.790 0.936 0.500
0.936 0.210 0.500
```

***

[6]
An optimized crystal structure of LiSc2PaP4. Source: Alexandria via LeMat-Bulk, functional PBE.

Summary:
SG: I4/mmm (139)
ΔH_f (0 K) in eV/atom: -1.144

POSCAR file:
```
LiSc2PaP4
1.0
-2.704 2.704 5.498
2.704 -2.704 5.498
2.704 2.704 -5.498
Li Sc Pa P
1 2 1 4
direct
0.000 0.000 0.000
0.250 0.750 0.500
0.750 0.250 0.500
0.500 0.500 0.000
0.000 0.500 0.500
0.253 0.253 0.000
0.500 0.000 0.500
0.747 0.747 0.000
```

***

no.,E_tot (eV per formula unit),ρ (g/cm3),N(E_F) (states/eV/f.u.)
1,-33.3,14.01,5.38
2,-37.6,8.29,7.87
3,-24.3,6.05,6.85
4,-78.2,6.89,12.97
5,-57.9,13.49,3.72
6,-54.9,4.66,1.62